The following is a GGA-PBE calculation of a geometry-optimized SrRh3Au structure, from the Alexandria database.

Cell: 4.8986 4.8986 4.8986 Å, 90.00 90.00 90.00°
Last column: nearest neighbours and their distance in Å.
Atoms (fractional coordinates):
Sr: 0.0000 0.0000 0.0000  6 Rh 2.45
Rh: 0.0000 0.0000 0.5000  2 Sr 2.45
Rh: 0.0000 0.5000 0.0000  2 Sr 2.45
Rh: 0.5000 0.0000 0.0000  2 Sr 2.45
Au: 0.5000 0.5000 0.5000  12 Rh 3.46

Summary:
As for the space group: No. 221. The value obtained for the formation energy is 1.81 eV per atom. As for the density of states at the Fermi level: 1.52 states/eV per atom. The distance to the lowest polymorph of the same formula is 987 meV per atom.

=====

The following is a GGA-PBE calculation of a geometry-optimized HfCoRh2Br structure, from the Alexandria database.

Cell: 4.6290 4.6290 4.2218 Å, 90.00 90.00 90.00°
Last column: nearest neighbours and their distance in Å.
Atoms (fractional coordinates):
Hf: 0.0000 0.0000 0.0000  8 Rh 3.13, 4 Co 3.27
Co: 0.5000 0.5000 0.0000  2 Br 2.11
Rh: 0.0000 0.5000 0.5000  2 Br 2.31
Rh: 0.5000 0.0000 0.5000  2 Br 2.31
Br: 0.5000 0.5000 0.5000  2 Co 2.11, 4 Rh 2.31

Summary:
As for the space group: No. 123. As for the density of states at the Fermi level: 0.72 states/eV per atom. The energy relative to the elements, uncorrected is 0.720 eV/atom.

=====

The following is a GGA-PBE calculation of a geometry-optimized Dy7Tl2Co2 structure, from the Alexandria database.

Cell: 9.7121 9.7121 9.7121 Å, 158.61 65.72 118.69°
Last column: nearest neighbours and their distance in Å.
Atoms (fractional coordinates):
Dy: 0.0000 0.0000 0.0000  3 Tl 3.21-3.22
Dy: 0.0506 0.3694 0.6812  2 Co 2.77
Dy: 0.0617 0.7158 0.3459  2 Co 2.74
Dy: 0.3699 0.7158 0.6541  2 Co 2.74
Dy: 0.4229 0.5595 0.8633  2 Co 2.73
Dy: 0.6882 0.3694 0.3188  2 Co 2.77
Dy: 0.6962 0.5595 0.1367  2 Co 2.73
Tl: 0.3252 0.3252 0.0000  7 Dy 3.22-3.28, 2 Tl 3.60
Tl: 0.7323 0.2323 0.5000  8 Dy 3.21-3.34
Co: 0.2980 0.0601 0.2379  6 Dy 2.73-2.77
Co: 0.8222 0.0601 0.7621  6 Dy 2.73-2.77

Summary:
As for the space group: No. 44. The value obtained for the formation energy is -0.21 eV per atom. As for the density of states at the Fermi level: 1.01 states/eV per atom.

=====

The following is a GGA-PBE calculation of a geometry-optimized NaGeS2N structure, from the Alexandria database.

Cell: 5.0223 5.0223 4.2875 Å, 90.00 90.00 90.00°
Last column: nearest neighbours and their distance in Å.
Atoms (fractional coordinates):
Na: 0.0000 0.0000 0.0000  2 N 2.14
Ge: 0.5000 0.5000 0.5000  8 S 3.30, 4 N 3.55
S: 0.0000 0.5000 0.0000  2 Na 2.51
S: 0.5000 0.0000 0.0000  2 Na 2.51
N: 0.0000 0.0000 0.5000  2 Na 2.14

Summary:
As for the space group: No. 123. As for the density of states at the Fermi level: 0.49 states/eV per atom. The distance to the lowest polymorph of the same formula is 962 meV per atom. The energy relative to the elements, uncorrected is 1.298 eV/atom.